# Sr2GaPb GGA-PBE optimized geometry
data_Sr2GaPb
_chemical_formula_sum 'Sr8 Ga4 Pb4'
_cell_length_a 12.221
_cell_length_b 4.899
_cell_length_c 9.223
_cell_angle_alpha 90.00
_cell_angle_beta 90.04
_cell_angle_gamma 90.00
_space_group_name_H-M_alt 'C 1 2/m 1'
_space_group_IT_number 12
_space_group_name_Hall '-C 2y'
loop_
_atom_site_label
_atom_site_fract_x
_atom_site_fract_y
_atom_site_fract_z
Sr1 0.134 0.000 0.135
Sr2 0.143 0.000 0.614
Ga1 0.068 0.500 0.386
Pb1 0.078 0.500 0.865
# Formation energy: -0.486 eV/atom
# Crystal system: monoclinic
# Polymorph energy (0 for the lowest one): 9 meV/atom
# Magnetization: 0.00 μB per cell


# SrGa2Pb2 GGA-PBE optimized geometry
data_SrGa2Pb2
_chemical_formula_sum 'Sr2 Ga4 Pb4'
_cell_length_a 8.740
_cell_length_b 8.740
_cell_length_c 3.736
_cell_angle_alpha 90.00
_cell_angle_beta 90.00
_cell_angle_gamma 90.00
_space_group_name_H-M_alt 'P 4/m b m'
_space_group_IT_number 127
_space_group_name_Hall '-P 4 2ab'
loop_
_atom_site_label
_atom_site_fract_x
_atom_site_fract_y
_atom_site_fract_z
Sr1 0.000 0.000 0.000
Ga1 0.160 0.340 0.500
Pb1 0.132 0.632 0.000
# Formation energy: -0.097 eV/atom
# Crystal system: tetragonal
# Polymorph energy (0 for the lowest one): 119 meV/atom
# Magnetization: 0.00 μB per cell